(1)
First-principles (GGA-PBE) data for a relaxed Ti2SbWN crystal, as listed in Alexandria.

Output
space-group type: P4/mmm
E: -38.7 eV per cell

a = 5.0468 Å, b = 3.8359 Å, c = 5.0468 Å
α = 90.00°, β = 90.00°, γ = 90.00°
Fractional coordinates of all 5 atoms:
N 0.0000 0.5000 0.0000
Sb 0.5000 0.5000 0.5000
Ti 0.5000 0.0000 0.0000
Ti 0.0000 0.0000 0.5000
W 0.0000 0.0000 0.0000

=====

(2)
First-principles (GGA-PBE) data for a relaxed ZrTiSbN2 crystal, as listed in Alexandria.

Output
space-group type: P4/mmm
E: -34.9 eV per cell

a = 4.0020 Å, b = 5.7603 Å, c = 4.0020 Å
α = 90.00°, β = 90.00°, γ = 90.00°
Fractional coordinates of all 5 atoms:
Sb 0.5000 0.5000 0.5000
Zr 0.0000 0.5000 0.0000
Ti 0.0000 0.0000 0.0000
N 0.0000 0.0000 0.5000
N 0.5000 0.0000 0.0000

=====

(3)
First-principles (GGA-PBE) data for a relaxed TlSb4N2 crystal, as listed in Alexandria.

Output
space-group type: P-1
E: -32.8 eV per cell

a = 3.2261 Å, b = 7.5837 Å, c = 9.3077 Å
α = 110.70°, β = 79.44°, γ = 129.46°
Fractional coordinates of all 7 atoms:
Sb 0.0981 0.7051 0.4248
Sb 0.7460 0.9412 0.8162
Sb 0.2540 0.0588 0.1838
Sb 0.9019 0.2949 0.5752
Tl 0.0000 0.5000 0.0000
N 0.5051 0.3059 0.4113
N 0.4949 0.6941 0.5887

=====

(4)
First-principles (GGA-PBE) data for a relaxed TlSbN2 crystal, as listed in Alexandria.

Output
relative energy among the computed polymorphs: 2.11 eV/f.u.
space-group type: R-3m
E: -20.8 eV per cell

a = 7.5086 Å, b = 7.5086 Å, c = 7.5086 Å
α = 24.95°, β = 24.95°, γ = 24.95°
Fractional coordinates of all 4 atoms:
Sb 0.5000 0.5000 0.5000
Tl 0.0000 0.0000 0.0000
N 0.1171 0.1171 0.1171
N 0.8829 0.8829 0.8829

=====

(5)
First-principles (GGA-PBE) data for a relaxed Tl2SbN2 crystal, as listed in Alexandria.

Output
space-group type: P-1
E: -25.2 eV per cell

a = 3.6942 Å, b = 3.4624 Å, c = 13.9947 Å
α = 91.64°, β = 89.85°, γ = 121.98°
Fractional coordinates of all 5 atoms:
Tl 0.6540 0.3049 0.1914
Tl 0.3460 0.6951 0.8086
N 0.0130 0.0216 0.5397
N 0.9870 0.9784 0.4603
Sb 0.0000 0.0000 0.0000

=====

(6)
First-principles (GGA-PBE) data for a relaxed TlSbN2 crystal, as listed in Alexandria.

Output
relative energy among the computed polymorphs: 0.00 eV/f.u.
space-group type: P-1
E: -45.7 eV per cell

a = 6.8870 Å, b = 3.3288 Å, c = 13.7589 Å
α = 83.14°, β = 86.84°, γ = 62.42°
Fractional coordinates of all 8 atoms:
N 0.8412 0.9555 0.9091
N 0.6588 0.1353 0.9091
N 0.1588 0.0445 0.0909
N 0.3412 0.8647 0.0909
Sb 0.5000 0.0000 0.5000
Sb 0.0000 0.5000 0.5000
Tl 0.2500 0.6590 0.6845
Tl 0.7500 0.3410 0.3155

=====

(7)
First-principles (GGA-PBE) data for a relaxed Tl2SbN crystal, as listed in Alexandria.

Output
relative energy among the computed polymorphs: 1.87 eV/f.u.
space-group type: Fm-3m
E: -12.8 eV per cell

a = 5.1924 Å, b = 5.1924 Å, c = 5.1924 Å
α = 60.00°, β = 60.00°, γ = 60.00°
Fractional coordinates of all 4 atoms:
Tl 0.2500 0.2500 0.2500
Tl 0.7500 0.7500 0.7500
Sb 0.5000 0.5000 0.5000
N 0.0000 0.0000 0.0000

=====

(8)
First-principles (GGA-PBE) data for a relaxed TlSbN2 crystal, as listed in Alexandria.

Output
relative energy among the computed polymorphs: 5.93 eV/f.u.
space-group type: Fm-3m
E: -16.9 eV per cell

a = 4.3805 Å, b = 4.3805 Å, c = 4.3805 Å
α = 60.00°, β = 60.00°, γ = 60.00°
Fractional coordinates of all 4 atoms:
Sb 0.0000 0.0000 0.0000
N 0.7500 0.7500 0.7500
N 0.2500 0.2500 0.2500
Tl 0.5000 0.5000 0.5000

=====

(9)
First-principles (GGA-PBE) data for a relaxed Tl2SbN crystal, as listed in Alexandria.

Output
relative energy among the computed polymorphs: 0.00 eV/f.u.
space-group type: I-42d
E: -29.4 eV per cell

a = 6.1531 Å, b = 6.1531 Å, c = 7.1521 Å
α = 64.52°, β = 64.52°, γ = 90.00°
Fractional coordinates of all 8 atoms:
N 0.5000 0.5000 0.0000
N 0.2500 0.7500 0.5000
Sb 0.0000 0.0000 0.0000
Sb 0.7500 0.2500 0.5000
Tl 0.3750 0.4588 0.7500
Tl 0.5412 0.1250 0.2500
Tl 0.8750 0.7912 0.7500
Tl 0.2088 0.6250 0.2500

=====

(10)
First-principles (GGA-PBE) data for a relaxed Tl2Sb4N3 crystal, as listed in Alexandria.

Output
space-group type: Cccm
E: -79.3 eV per cell

a = 9.1012 Å, b = 9.1012 Å, c = 5.8218 Å
α = 90.00°, β = 90.00°, γ = 79.37°
Fractional coordinates of all 18 atoms:
N 0.5000 0.5000 0.2500
N 0.7832 0.2168 0.7500
N 0.2168 0.7832 0.2500
N 0.2168 0.7832 0.7500
N 0.5000 0.5000 0.7500
N 0.7832 0.2168 0.2500
Tl 0.4655 0.7081 0.0000
Tl 0.7081 0.4655 0.5000
Tl 0.5345 0.2919 0.0000
Tl 0.2919 0.5345 0.5000
Sb 0.5920 0.8619 0.5000
Sb 0.1381 0.4080 0.0000
Sb 0.8231 0.0585 0.5000
Sb 0.0585 0.8231 0.0000
Sb 0.9415 0.1769 0.0000
Sb 0.1769 0.9415 0.5000
Sb 0.4080 0.1381 0.5000
Sb 0.8619 0.5920 0.0000

=====

(11)
First-principles (GGA-PBE) data for a relaxed Tl4Sb2N3 crystal, as listed in Alexandria.

Output
space-group type: P-1
E: -75.0 eV per cell

a = 5.8677 Å, b = 25.5217 Å, c = 18.8644 Å
α = 11.21°, β = 93.27°, γ = 91.67°
Fractional coordinates of all 18 atoms:
Tl 0.4509 0.5103 0.8350
Tl 0.9782 0.5807 0.4810
Tl 0.5168 0.1527 0.9860
Tl 0.5491 0.4897 0.1650
Tl 0.4832 0.8473 0.0140
Tl 0.0218 0.4193 0.5190
Tl 0.9924 0.7665 0.5897
Tl 0.0076 0.2335 0.4103
Sb 0.5279 0.9857 0.3837
Sb 0.4721 0.0143 0.6163
Sb 0.0183 0.5982 0.1298
Sb 0.9817 0.4018 0.8702
N 0.7516 0.4562 0.5493
N 0.1738 0.0762 0.2551
N 0.6624 0.2991 0.0187
N 0.3376 0.7009 0.9813
N 0.2484 0.5438 0.4507
N 0.8262 0.9238 0.7449

=====

(12)
First-principles (GGA-PBE) data for a relaxed TlSbN2 crystal, as listed in Alexandria.

Output
relative energy among the computed polymorphs: 2.21 eV/f.u.
space-group type: I-42d
E: -41.3 eV per cell

a = 6.1284 Å, b = 6.1284 Å, c = 5.9347 Å
α = 58.91°, β = 58.91°, γ = 90.00°
Fractional coordinates of all 8 atoms:
Sb 0.2500 0.7500 0.5000
Sb 0.5000 0.5000 0.0000
N 0.8750 0.7641 0.7500
N 0.5141 0.1250 0.2500
N 0.2359 0.6250 0.2500
N 0.3750 0.4859 0.7500
Tl 0.7500 0.2500 0.5000
Tl 0.0000 0.0000 0.0000

=====

(13)
First-principles (GGA-PBE) data for a relaxed TlSbN2 crystal, as listed in Alexandria.

Output
relative energy among the computed polymorphs: 4.18 eV/f.u.
space-group type: R-3m
E: -18.7 eV per cell

a = 6.7522 Å, b = 6.7522 Å, c = 6.7522 Å
α = 30.72°, β = 30.72°, γ = 30.72°
Fractional coordinates of all 4 atoms:
N 0.8947 0.8947 0.8947
N 0.1053 0.1053 0.1053
Tl 0.5000 0.5000 0.5000
Sb 0.0000 0.0000 0.0000

=====

(14)
First-principles (GGA-PBE) data for a relaxed Y4TlSbN crystal, as listed in Alexandria.

Output
space-group type: Cmcm
E: -94.5 eV per cell

a = 6.6585 Å, b = 6.6609 Å, c = 8.6488 Å
α = 90.00°, β = 112.64°, γ = 90.00°
Fractional coordinates of all 14 atoms:
Y 0.5901 0.2500 0.1801
Y 0.5000 0.5000 0.5000
Y 0.0000 0.0000 0.5000
Y 0.9115 0.2500 0.8231
Y 0.0885 0.7500 0.1769
Y 0.5000 0.0000 0.5000
Y 0.0000 0.5000 0.5000
Y 0.4099 0.7500 0.8199
N 0.2473 0.7500 0.4947
N 0.7527 0.2500 0.5053
Tl 0.8920 0.7500 0.7839
Tl 0.1080 0.2500 0.2161
Sb 0.6080 0.7500 0.2160
Sb 0.3920 0.2500 0.7840

=====

(15)
First-principles (GGA-PBE) data for a relaxed Tm12Sb3N5 crystal, as listed in Alexandria.

Output
space-group type: Ia-3d
E: -512.7 eV per cell

a = 13.2939 Å, b = 13.2939 Å, c = 13.2939 Å
α = 109.47°, β = 109.47°, γ = 109.47°
Fractional coordinates of all 80 atoms:
Tm 0.0986 0.9114 0.1070
Tm 0.9014 0.8128 0.5084
Tm 0.8128 0.9114 0.3044
Tm 0.6956 0.1070 0.0084
Tm 0.0084 0.4014 0.8128
Tm 0.8930 0.3044 0.4916
Tm 0.4014 0.3930 0.5886
Tm 0.1070 0.4114 0.0986
Tm 0.4114 0.1070 0.5986
Tm 0.3128 0.8044 0.4114
Tm 0.0084 0.6070 0.6956
Tm 0.9114 0.0986 0.6070
Tm 0.6070 0.0084 0.1956
Tm 0.5084 0.1956 0.1070
Tm 0.5986 0.6070 0.4114
Tm 0.5986 0.9916 0.6872
Tm 0.8044 0.4916 0.3930
Tm 0.3930 0.4014 0.0886
Tm 0.9916 0.3930 0.3044
Tm 0.6872 0.1956 0.5886
Tm 0.3044 0.8930 0.9916
Tm 0.6956 0.5886 0.1872
Tm 0.9114 0.8128 0.8044
Tm 0.3930 0.9916 0.8044
Tm 0.5084 0.3128 0.9014
Tm 0.8044 0.3128 0.9114
Tm 0.1956 0.5084 0.6070
Tm 0.4114 0.3044 0.3128
Tm 0.4916 0.6872 0.0986
Tm 0.8128 0.9014 0.0084
Tm 0.9014 0.0886 0.8930
Tm 0.0986 0.1872 0.4916
Tm 0.5886 0.6956 0.6872
Tm 0.3044 0.4114 0.8128
Tm 0.1956 0.6872 0.0886
Tm 0.4916 0.8044 0.8930
Tm 0.0886 0.9014 0.3930
Tm 0.6872 0.4916 0.5986
Tm 0.9916 0.5986 0.1872
Tm 0.1872 0.0986 0.9916
Tm 0.5886 0.8930 0.4014
Tm 0.1872 0.0886 0.6956
Tm 0.6070 0.5986 0.9114
Tm 0.8930 0.5886 0.9014
Tm 0.3128 0.5084 0.4014
Tm 0.1070 0.6956 0.5084
Tm 0.0886 0.1872 0.1956
Tm 0.4014 0.0084 0.3128
N 0.0000 0.5000 0.0000
N 0.2500 0.8750 0.1250
N 0.3750 0.2500 0.1250
N 0.7500 0.1250 0.8750
N 0.6250 0.8750 0.2500
N 0.1250 0.7500 0.3750
N 0.7500 0.6250 0.3750
N 0.6250 0.7500 0.8750
N 0.0000 0.0000 0.5000
N 0.2500 0.3750 0.6250
N 0.5000 0.5000 0.5000
N 0.1250 0.3750 0.2500
N 0.0000 0.0000 0.0000
N 0.8750 0.2500 0.6250
N 0.3750 0.1250 0.7500
N 0.5000 0.5000 0.0000
N 0.8750 0.6250 0.7500
N 0.0000 0.5000 0.5000
N 0.5000 0.0000 0.0000
N 0.5000 0.0000 0.5000
Sb 0.3750 0.7500 0.6250
Sb 0.1250 0.8750 0.7500
Sb 0.2500 0.1250 0.3750
Sb 0.8750 0.7500 0.1250
Sb 0.7500 0.8750 0.6250
Sb 0.1250 0.2500 0.8750
Sb 0.3750 0.6250 0.2500
Sb 0.2500 0.6250 0.8750
Sb 0.8750 0.1250 0.2500
Sb 0.6250 0.2500 0.3750
Sb 0.6250 0.3750 0.7500
Sb 0.7500 0.3750 0.1250

=====

(16)
First-principles (GGA-PBE) data for a relaxed Tm2SbN crystal, as listed in Alexandria.

Output
relative energy among the computed polymorphs: 0.00 eV/f.u.
space-group type: P4/nmm
E: -53.9 eV per cell

a = 4.4513 Å, b = 4.4513 Å, c = 8.8207 Å
α = 90.01°, β = 90.01°, γ = 90.00°
Fractional coordinates of all 8 atoms:
Sb 0.7498 0.7498 0.1869
Sb 0.2502 0.2502 0.8131
Tm 0.2498 0.2498 0.1763
Tm 0.2500 0.7500 0.5000
Tm 0.7500 0.2500 0.5000
Tm 0.7502 0.7502 0.8237
N 0.7500 0.7500 0.5766
N 0.2500 0.2500 0.4234

=====

(17)
First-principles (GGA-PBE) data for a relaxed Tm2SbN crystal, as listed in Alexandria.

Output
relative energy among the computed polymorphs: 1.74 eV/f.u.
space-group type: R3m
E: -25.2 eV per cell

a = 3.6430 Å, b = 3.6418 Å, c = 8.6695 Å
α = 77.85°, β = 77.87°, γ = 59.97°
Fractional coordinates of all 4 atoms:
Tm 0.1505 0.5956 0.4460
Tm 0.5971 0.0423 0.1063
Sb 0.7200 0.1646 0.7391
N 0.2368 0.6821 0.1870

=====

(18)
First-principles (GGA-PBE) data for a relaxed Tm2SbN crystal, as listed in Alexandria.

Output
relative energy among the computed polymorphs: 0.78 eV/f.u.
space-group type: R-3m
E: -26.2 eV per cell

a = 3.5258 Å, b = 3.5258 Å, c = 7.6234 Å
α = 76.63°, β = 76.63°, γ = 60.00°
Fractional coordinates of all 4 atoms:
Tm 0.7240 0.7240 0.8279
Tm 0.2760 0.2760 0.1721
N 0.0000 0.0000 0.0000
Sb 0.5000 0.5000 0.5000

=====

(19)
First-principles (GGA-PBE) data for a relaxed Tm5Sb4N crystal, as listed in Alexandria.

Output
space-group type: I4
E: -57.5 eV per cell

a = 6.1016 Å, b = 7.2063 Å, c = 7.2063 Å
α = 79.68°, β = 64.95°, γ = 64.95°
Fractional coordinates of all 10 atoms:
Tm 0.7474 0.1599 0.3500
Tm 0.4218 0.0000 0.0000
Tm 0.2573 0.8401 0.6500
Tm 0.0974 0.6500 0.1599
Tm 0.9073 0.3500 0.8401
N 0.0575 0.0000 0.0000
Sb 0.1976 0.2230 0.3927
Sb 0.4205 0.3927 0.7770
Sb 0.5903 0.6073 0.2230
Sb 0.8133 0.7770 0.6073

=====

(20)
First-principles (GGA-PBE) data for a relaxed TmSbN crystal, as listed in Alexandria.

Output
space-group type: Fddd
E: -67.2 eV per cell

a = 7.1916 Å, b = 7.1916 Å, c = 7.9902 Å
α = 118.78°, β = 118.78°, γ = 86.00°
Fractional coordinates of all 12 atoms:
Tm 0.6978 0.3022 0.0000
Tm 0.3022 0.6978 0.0000
Tm 0.5522 0.4478 0.5000
Tm 0.9478 0.0522 0.5000
N 0.6250 0.3750 0.7500
N 0.6250 0.3750 0.2500
N 0.1250 0.3750 0.7500
N 0.6250 0.8750 0.2500
Sb 0.3667 0.8667 0.7334
Sb 0.1333 0.6333 0.2666
Sb 0.8833 0.8833 0.7666
Sb 0.1167 0.1167 0.2334

=====

Q: Which raw formation energy values were calculated for the entries above? A: 495; 469; 391; 595; 57; 68; 1093; 1550; 625; 730; 574; 621; 1114; -942; -1027; -1395; -961; -1199; -1033; 36, in meV/atom.